# Cu2NiCl, optimized geometry, DFT GGA-PBE
# - Size of the total moment: 0.57 μB/cell
# - Fermi-level density of states: 2.96 states/eV/f.u.
# - DFT total energy: -3.8557 eV per atom
# - Energy relative to the lowest polymorph listed for this composition: 0.0 meV per atom
data_Cu2NiCl
_chemical_formula_sum 'Cu2 Ni1 Cl1'
_space_group_name_H-M_alt 'P 1 m 1'
_space_group_IT_number 6
_cell_length_a 3.1987
_cell_length_b 2.9551
_cell_length_c 6.2747
_cell_angle_alpha 90.00
_cell_angle_beta 90.15
_cell_angle_gamma 90.00
loop_
_space_group_symop_operation_xyz
'x,y,z'
'x,-y,z'
loop_
_atom_site_label
_atom_site_type_symbol
_atom_site_fract_x
_atom_site_fract_y
_atom_site_fract_z
_atom_site_occupancy
Cu1 Cu 0.0000 0.0000 0.0000 1
Cu2 Cu 0.4990 0.5000 0.7967 1
Ni1 Ni 0.5014 0.5000 0.1935 1
Cl1 Cl 0.4974 0.0000 0.4792 1

# Cu2NiCl6, optimized geometry, DFT GGA-PBE
# - Size of the total moment: 0.11 μB/cell
# - Fermi-level density of states: 8.32 states/eV/f.u.
# - DFT total energy: -3.2300 eV per atom
# - Energy relative to the lowest polymorph listed for this composition: 25.4 meV per atom
data_Cu2NiCl6
_chemical_formula_sum 'Cu8 Ni4 Cl24'
_space_group_name_H-M_alt 'C 1 2/c 1'
_space_group_IT_number 15
_cell_length_a 11.6898
_cell_length_b 10.4962
_cell_length_c 6.4524
_cell_angle_alpha 90.00
_cell_angle_beta 97.31
_cell_angle_gamma 90.00
loop_
_space_group_symop_operation_xyz
'x,y,z'
'-x,-y,-z'
'-x,y,-z+1/2'
'x,-y,z+1/2'
'x+1/2,y+1/2,z'
'-x+1/2,-y+1/2,-z'
'-x+1/2,y+1/2,-z+1/2'
'x+1/2,-y+1/2,z+1/2'
loop_
_atom_site_label
_atom_site_type_symbol
_atom_site_fract_x
_atom_site_fract_y
_atom_site_fract_z
_atom_site_occupancy
Cu1 Cu 0.1816 0.0899 0.3149 1
Ni1 Ni 0.0000 0.4143 0.2500 1
Cl1 Cl 0.1104 0.4301 0.6124 1
Cl2 Cl 0.1161 0.2621 0.1330 1
Cl3 Cl 0.1310 0.0858 0.6345 1

# CuNi3Cl, optimized geometry, DFT GGA-PBE
# - Size of the total moment: 0.00 μB/cell
# - Fermi-level density of states: 0.00 states/eV/f.u.
# - DFT total energy: -4.0525 eV per atom
# - Energy relative to the lowest polymorph listed for this composition: 0.0 meV per atom
data_CuNi3Cl
_chemical_formula_sum 'Cu1 Ni3 Cl1'
_space_group_name_H-M_alt 'P m -3 m'
_space_group_IT_number 221
_space_group_name_Hall '-P 4 2 3'
_cell_length_a 4.1031
_cell_length_b 4.1031
_cell_length_c 4.1031
_cell_angle_alpha 90.00
_cell_angle_beta 90.00
_cell_angle_gamma 90.00
loop_
_atom_site_label
_atom_site_type_symbol
_atom_site_fract_x
_atom_site_fract_y
_atom_site_fract_z
_atom_site_occupancy
Cu1 Cu 0.0000 0.0000 0.0000 1
Ni1 Ni 0.0000 0.5000 0.5000 1
Cl1 Cl 0.5000 0.5000 0.5000 1

# CuNi2Cl, optimized geometry, DFT GGA-PBE
# - Size of the total moment: 1.39 μB/cell
# - Fermi-level density of states: 4.75 states/eV/f.u.
# - DFT total energy: -4.1128 eV per atom
# - Energy relative to the lowest polymorph listed for this composition: 104.5 meV per atom
data_CuNi2Cl
_chemical_formula_sum 'Cu1 Ni2 Cl1'
_space_group_name_H-M_alt 'P 4 m m'
_space_group_IT_number 99
_cell_length_a 2.9658
_cell_length_b 2.9658
_cell_length_c 6.1873
_cell_angle_alpha 90.00
_cell_angle_beta 90.00
_cell_angle_gamma 90.00
loop_
_space_group_symop_operation_xyz
'x,y,z'
'-y,x,z'
'-x,-y,z'
'y,-x,z'
'-x,y,z'
'y,x,z'
'x,-y,z'
'-y,-x,z'
loop_
_atom_site_label
_atom_site_type_symbol
_atom_site_fract_x
_atom_site_fract_y
_atom_site_fract_z
_atom_site_occupancy
Cu1 Cu 0.0000 0.0000 0.0000 1
Ni1 Ni 0.0000 0.0000 0.4223 1
Ni2 Ni 0.5000 0.5000 0.2202 1
Cl1 Cl 0.5000 0.5000 0.6822 1

# CuNi2Cl, optimized geometry, DFT GGA-PBE
# - Size of the total moment: 0.01 μB/cell
# - Fermi-level density of states: 3.54 states/eV/f.u.
# - DFT total energy: -3.8324 eV per atom
# - Energy relative to the lowest polymorph listed for this composition: 384.9 meV per atom
data_CuNi2Cl
_chemical_formula_sum 'Cu4 Ni8 Cl4'
_space_group_name_H-M_alt 'I -4 2 d'
_space_group_IT_number 122
_space_group_name_Hall 'I -4 2bw'
_cell_length_a 6.4367
_cell_length_b 6.4367
_cell_length_c 5.2368
_cell_angle_alpha 90.00
_cell_angle_beta 90.00
_cell_angle_gamma 90.00
loop_
_atom_site_label
_atom_site_type_symbol
_atom_site_fract_x
_atom_site_fract_y
_atom_site_fract_z
_atom_site_occupancy
Cu1 Cu 0.0000 0.0000 0.0000 1
Ni1 Ni 0.2243 0.7500 0.6250 1
Cl1 Cl 0.0000 0.0000 0.5000 1

# CuNi2Cl, optimized geometry, DFT GGA-PBE
# - Size of the total moment: 1.70 μB/cell
# - Fermi-level density of states: 7.04 states/eV/f.u.
# - DFT total energy: -3.8113 eV per atom
# - Energy relative to the lowest polymorph listed for this composition: 406.0 meV per atom
data_CuNi2Cl
_chemical_formula_sum 'Cu2 Ni4 Cl2'
_space_group_name_H-M_alt 'I -4 m 2'
_space_group_IT_number 119
_space_group_name_Hall 'I -4 -2'
_cell_length_a 3.5770
_cell_length_b 3.5770
_cell_length_c 8.1019
_cell_angle_alpha 90.00
_cell_angle_beta 90.00
_cell_angle_gamma 90.00
loop_
_atom_site_label
_atom_site_type_symbol
_atom_site_fract_x
_atom_site_fract_y
_atom_site_fract_z
_atom_site_occupancy
Cu1 Cu 0.0000 0.0000 0.0000 1
Ni1 Ni 0.0000 0.0000 0.5000 1
Ni2 Ni 0.0000 0.5000 0.7500 1
Cl1 Cl 0.0000 0.5000 0.2500 1

# CuNiCl4, optimized geometry, DFT GGA-PBE
# - Size of the total moment: 11.27 μB/cell
# - Fermi-level density of states: 10.07 states/eV/f.u.
# - DFT total energy: -1.8001 eV per atom
data_CuNiCl4
_chemical_formula_sum 'Cu4 Ni4 Cl16'
_space_group_name_H-M_alt 'F -4 3 m'
_space_group_IT_number 216
_space_group_name_Hall 'F -4 2 3'
_cell_length_a 8.1843
_cell_length_b 8.1843
_cell_length_c 8.1843
_cell_angle_alpha 90.00
_cell_angle_beta 90.00
_cell_angle_gamma 90.00
loop_
_atom_site_label
_atom_site_type_symbol
_atom_site_fract_x
_atom_site_fract_y
_atom_site_fract_z
_atom_site_occupancy
Cu1 Cu 0.0000 0.0000 0.0000 1
Ni1 Ni 0.2500 0.2500 0.7500 1
Cl1 Cl 0.1248 0.1248 0.3752 1

# Cu2NiCl, optimized geometry, DFT GGA-PBE
# - Size of the total moment: 0.54 μB/cell
# - Fermi-level density of states: 3.43 states/eV/f.u.
# - DFT total energy: -3.7241 eV per atom
# - Energy relative to the lowest polymorph listed for this composition: 131.6 meV per atom
data_Cu2NiCl
_chemical_formula_sum 'Cu6 Ni3 Cl3'
_space_group_name_H-M_alt 'R -3 m'
_space_group_IT_number 166
_space_group_name_Hall '-R 3 2"'
_cell_length_a 2.9691
_cell_length_b 2.9691
_cell_length_c 21.9415
_cell_angle_alpha 90.00
_cell_angle_beta 90.00
_cell_angle_gamma 120.00
loop_
_atom_site_label
_atom_site_type_symbol
_atom_site_fract_x
_atom_site_fract_y
_atom_site_fract_z
_atom_site_occupancy
Cu1 Cu 0.0000 0.0000 0.2481 1
Ni1 Ni 0.0000 0.0000 0.5000 1
Cl1 Cl 0.0000 0.0000 0.0000 1